8
Lattice="3.312 0.000 0.000 -1.656 2.868 0.000 0.000 0.000 16.105" Properties=species:S:1:pos:R:3 comment="Nb2SnAs, optimized geometry, DFT PBE" total_energy_ev_per_cell=-59.348 pbc="T T T"
As 1.656 0.956 4.026
As 0.000 1.912 12.079
Nb 0.000 1.912 2.261
Nb 0.000 1.912 5.792
Nb 1.656 0.956 10.314
Nb 1.656 0.956 13.845
Sn 0.000 0.000 0.000
Sn 0.000 0.000 8.053



16
Lattice="3.137 0.000 0.000 -1.569 2.717 0.000 0.000 0.000 24.431" Properties=species:S:1:pos:R:3 comment="Ta4SnN3, optimized geometry, DFT PBE" total_energy_ev_per_cell=-162.204 pbc="T T T"
N 0.000 0.000 0.000
N 1.569 0.906 2.527
N 1.569 0.906 9.688
N 0.000 0.000 12.215
N 0.000 1.811 14.742
N 0.000 1.811 21.903
Sn 0.000 1.811 6.108
Sn 1.569 0.906 18.323
Ta 0.000 1.811 1.260
Ta 0.000 0.000 3.760
Ta 0.000 0.000 8.455
Ta 0.000 1.811 10.955
Ta 1.569 0.906 13.475
Ta 0.000 0.000 15.976
Ta 0.000 0.000 20.670
Ta 1.569 0.906 23.170



9
Lattice="4.582 0.000 0.000 0.000 6.438 3.764 0.000 -6.438 3.764" Properties=species:S:1:pos:R:3 comment="Gd2TmMg4Al2, optimized geometry, DFT PBE" total_energy_ev_per_cell=-29.479 pbc="T T T"
Al 2.291 2.126 3.778
Al 2.291 -2.126 3.778
Gd 0.000 2.796 1.648
Gd 0.000 -2.796 1.648
Mg 2.291 0.000 1.875
Mg 2.291 1.608 6.587
Mg 0.000 0.000 7.496
Mg 2.291 -1.608 6.587
Tm 0.000 0.000 4.247



2
Lattice="-2.487 3.086 -1.081 3.578 -0.533 -1.947 -3.067 -2.672 -0.572" Properties=species:S:1:pos:R:3 comment="NpAs, optimized geometry, DFT PBE" de_polymorph_mev_per_atom=0.0 pbc="T T T"
As 0.000 0.000 0.000
Np -2.777 0.207 -0.826



3
Lattice="-4.345 0.070 2.249 -3.844 2.112 -2.169 -3.674 -2.754 -1.690" Properties=species:S:1:pos:R:3 comment="LaSmNi, optimized geometry, DFT PBE" delta_e_f_ev_per_atom=-0.069 de_polymorph_mev_per_atom=0.0 pbc="T T T"
La -2.966 -0.143 -0.402
Ni 0.000 0.000 0.000
Sm -8.897 -0.429 -1.207



20
Lattice="8.386 0.000 0.000 0.000 8.875 0.000 -8.237 0.000 11.971" Properties=species:S:1:pos:R:3 comment="Cs3DyBr6, optimized geometry, DFT PBE" total_energy_ev_per_cell=-71.894 pbc="T T T"
Br 2.276 2.898 0.585
Br 1.374 6.773 0.797
Br -0.915 4.045 2.622
Br 5.182 8.482 3.364
Br 2.893 2.336 5.188
Br 1.991 7.335 5.401
Br -1.843 1.540 6.570
Br -2.745 6.539 6.783
Br -5.033 0.393 8.607
Br 1.063 4.830 9.349
Br -1.226 2.102 11.174
Br -2.127 5.977 11.386
Cs 4.193 0.000 0.000
Cs 4.012 5.055 2.948
Cs 0.255 0.617 3.038
Cs 0.074 4.437 5.985
Cs -0.106 8.257 8.933
Cs -3.864 3.820 9.023
Dy 0.000 4.437 0.000
Dy -4.119 0.000 5.985



12
Lattice="2.003 -7.637 0.000 2.003 7.637 0.000 0.000 0.000 10.417" Properties=species:S:1:pos:R:3 comment="TlAgTe2WSe, optimized geometry, DFT PBE" total_energy_ev_per_cell=-54.563 pbc="T T T"
Ag 2.003 -0.708 2.604
Ag 2.003 0.708 7.813
Se 2.003 -6.647 2.604
Se 2.003 6.647 7.813
Te 2.003 -1.972 0.209
Te 2.003 -1.972 4.999
Te 2.003 1.972 5.417
Te 2.003 1.972 10.208
Tl 2.003 3.906 2.604
Tl 2.003 -3.906 7.813
W 0.000 0.000 0.000
W 0.000 0.000 5.208



8
Lattice="4.407 0.000 0.000 0.000 7.388 0.000 0.000 0.000 6.348" Properties=species:S:1:pos:R:3 comment="AcZrAsO, optimized geometry, DFT PBE" de_polymorph_mev_per_atom=290.9 pbc="T T T"
Ac 0.000 5.302 2.848
Ac 0.000 2.086 6.022
As 0.000 2.193 2.820
As 0.000 5.194 5.994
O 2.204 6.327 2.192
O 2.204 1.060 5.366
Zr 2.204 6.615 0.100
Zr 2.204 0.772 3.274



12
Lattice="1.753 -7.116 0.000 1.753 7.116 0.000 0.000 0.000 10.150" Properties=species:S:1:pos:R:3 comment="CdCoPbS3, optimized geometry, DFT PBE" de_polymorph_mev_per_atom=74.1 pbc="T T T"
Cd 1.753 1.929 2.537
Cd 1.753 -1.929 7.612
Co 0.000 0.000 0.000
Co 0.000 0.000 5.075
Pb 1.753 -2.469 2.537
Pb 1.753 2.469 7.612
S 1.753 1.444 0.061
S 1.753 6.872 2.537
S 1.753 1.444 5.014
S 1.753 -1.444 5.135
S 1.753 -6.872 7.612
S 1.753 -1.444 10.089



40
Lattice="8.753 0.000 0.000 0.000 6.095 0.000 -8.100 0.000 13.188" Properties=species:S:1:pos:R:3 comment="Li2FeS2, optimized geometry, DFT PBE" de_polymorph_mev_per_atom=0.0 pbc="T T T"
Fe 3.038 2.972 0.351
Fe 0.393 3.011 1.192
Fe 4.311 6.058 5.402
Fe 1.666 6.019 6.243
Fe -1.012 0.075 6.945
Fe -3.657 0.037 7.786
Fe 0.261 3.084 11.996
Fe -2.384 3.123 12.836
Li 7.182 0.792 0.574
Li 4.089 5.757 2.123
Li 6.510 3.233 2.470
Li 3.654 2.981 3.229
Li 1.050 6.028 3.365
Li -1.807 0.186 4.124
Li 0.614 2.710 4.471
Li -2.479 3.839 6.020
Li 3.132 2.255 7.168
Li 0.039 3.385 8.717
Li 2.460 5.909 9.064
Li -0.396 0.067 9.823
Li -3.000 3.114 9.959
Li -5.856 2.861 10.718
Li -3.436 0.338 11.064
Li -6.529 5.303 12.614
S 7.407 4.473 0.512
S 4.793 1.797 1.323
S 2.081 4.415 1.902
S -0.539 1.589 2.701
S 5.242 4.636 3.893
S 2.623 1.367 4.692
S -0.090 4.845 5.271
S -2.704 1.426 6.082
S 3.357 4.669 7.105
S 0.743 1.250 7.917
S -1.969 4.727 8.496
S -4.589 1.459 9.295
S 1.193 4.506 10.487
S -1.427 1.680 11.285
S -4.140 4.297 11.865
S -6.754 1.622 12.676



4
Lattice="0.000 3.606 3.606 3.606 0.000 3.606 3.606 3.606 0.000" Properties=species:S:1:pos:R:3 comment="BaSi2Ag, optimized geometry, DFT PBE" total_energy_ev_per_cell=-14.298 pbc="T T T"
Ag 5.409 5.409 5.409
Ba 0.000 0.000 0.000
Si 1.803 1.803 1.803
Si 3.606 3.606 3.606



8
Lattice="-2.859 0.647 2.767 -1.750 -3.494 -0.992 5.558 -4.730 6.849" Properties=species:S:1:pos:R:3 comment="DySbPO, optimized geometry, DFT PBE" de_polymorph_mev_per_atom=0.0 pbc="T T T"
Dy -0.298 -2.238 0.216
Dy 3.551 -3.915 7.521
O 0.000 0.000 0.000
O -2.305 -1.423 0.888
P 0.080 -0.962 3.244
P 3.173 -5.192 4.492
Sb 2.779 -2.365 3.424
Sb 0.474 -3.788 4.312



6
Lattice="-1.579 2.627 4.002 1.579 -2.627 4.002 1.579 2.627 -4.002" Properties=species:S:1:pos:R:3 comment="ThFeB4, optimized geometry, DFT PBE" de_polymorph_mev_per_atom=298.9 pbc="T T T"
B 0.000 1.732 1.992
B 1.579 -0.895 2.010
B 0.000 3.522 1.992
B 1.579 0.895 2.010
Fe 0.000 0.000 0.000
Th 0.000 0.000 4.002



4
Lattice="0.000 2.701 2.701 2.701 0.000 2.701 2.701 2.701 0.000" Properties=species:S:1:pos:R:3 comment="FeB2Mo, optimized geometry, DFT PBE" de_polymorph_mev_per_atom=0.0 pbc="T T T"
B 0.000 0.000 0.000
B 4.051 4.051 4.051
Fe 1.350 1.350 1.350
Mo 2.701 2.701 2.701



3
Lattice="2.148 -3.264 -2.416 -0.175 -4.376 1.387 -2.442 -3.071 -2.390" Properties=species:S:1:pos:R:3 comment="GdZrNi, optimized geometry, DFT PBE" delta_e_f_ev_per_atom=0.050 de_polymorph_mev_per_atom=0.0 pbc="T T T"
Gd -0.117 -2.678 -0.855
Ni 0.000 0.000 0.000
Zr -0.351 -8.033 -2.564



12
Lattice="1.978 -7.015 0.000 1.978 7.015 0.000 0.000 0.000 10.362" Properties=species:S:1:pos:R:3 comment="SmGdAuSe3, optimized geometry, DFT PBE" total_energy_ev_per_cell=-62.310 pbc="T T T"
Au 1.978 -0.392 2.590
Au 1.978 0.392 7.771
Gd 0.000 0.000 0.000
Gd 0.000 0.000 5.181
Se 1.978 -2.137 0.565
Se 1.978 -5.460 2.590
Se 1.978 -2.137 4.616
Se 1.978 2.137 5.746
Se 1.978 5.460 7.771
Se 1.978 2.137 9.796
Sm 1.978 3.830 2.590
Sm 1.978 -3.830 7.771



8
Lattice="4.337 0.000 0.000 0.000 4.337 0.000 0.000 0.000 6.862" Properties=species:S:1:pos:R:3 comment="PrPOsO, optimized geometry, DFT PBE" de_polymorph_mev_per_atom=2039.2 pbc="T T T"
O 0.000 0.000 0.000
O 2.169 2.169 0.000
Os 0.000 2.169 0.846
Os 2.169 0.000 6.017
P 2.169 0.000 1.441
P 0.000 2.169 5.421
Pr 0.000 0.000 3.431
Pr 2.169 2.169 3.431



10
Lattice="2.862 1.653 5.630 -2.862 1.653 5.630 0.000 -3.305 5.630" Properties=species:S:1:pos:R:3 comment="NbAgF3, optimized geometry, DFT PBE" de_polymorph_mev_per_atom=11.6 pbc="T T T"
Ag 0.000 0.000 2.525
Ag 0.000 0.000 14.366
F 0.886 1.396 6.455
F -0.766 1.466 10.435
F -1.652 0.070 6.455
F 1.652 -0.070 10.435
F 0.766 -1.466 6.455
F -0.886 -1.396 10.435
Nb 0.000 0.000 5.188
Nb 0.000 0.000 11.703



20
Lattice="4.917 4.917 -4.917 4.917 -4.917 4.917 -4.917 -4.917 -4.917" Properties=species:S:1:pos:R:3 comment="Tm3Sb4Au3, optimized geometry, DFT PBE" total_energy_ev_per_cell=-94.739 pbc="T T T"
Au 2.459 -1.229 0.000
Au 6.146 0.000 -2.459
Au 2.459 1.229 -4.917
Au 0.000 -2.459 -3.688
Au 3.688 -4.917 -2.459
Au 0.000 -7.376 -1.229
Sb 4.024 0.893 -0.893
Sb 6.482 -1.565 1.565
Sb 3.352 -3.352 1.565
Sb -1.565 -1.565 -1.565
Sb 1.565 -3.352 -1.565
Sb 4.024 -0.893 -4.024
Sb 0.893 -0.893 -5.811
Sb -4.024 -4.024 -4.024
Tm 4.917 2.459 -3.688
Tm 1.229 0.000 -2.459
Tm 4.917 -2.459 -1.229
Tm 2.459 -6.146 0.000
Tm -1.229 -4.917 -2.459
Tm 2.459 -3.688 -4.917



8
Lattice="-5.021 0.545 -4.719 -2.642 -4.712 2.267 -3.984 -1.327 4.086" Properties=species:S:1:pos:R:3 comment="PrAl2Ni, optimized geometry, DFT PBE" total_energy_ev_per_cell=-40.305 pbc="T T T"
Al -2.660 -0.852 -0.377
Al -4.597 -0.641 -2.198
Al -6.478 -4.914 4.370
Al -9.560 -4.580 1.473
Ni -1.864 -1.698 1.787
Ni -7.274 -4.068 2.208
Pr -5.462 -2.417 0.470
Pr -3.674 -3.348 3.523